No. 1
# Tb5Nd5Th2 (PBE, relaxed)
data_Tb5Nd5Th2
_space_group_name_H-M_alt 'P -1'
_space_group_IT_number 2
_cell_length_a 6.250
_cell_length_b 8.084
_cell_length_c 8.868
_cell_angle_alpha 111.19
_cell_angle_beta 90.20
_cell_angle_gamma 104.91
loop_
_space_group_symop_operation_xyz
'x,y,z'
'-x,-y,-z'
loop_
_atom_site_label
_atom_site_type_symbol
_atom_site_fract_x
_atom_site_fract_y
_atom_site_fract_z
Tb1 Tb 0.000 0.000 0.000
Tb2 Tb 0.087 0.754 0.583
Tb3 Tb 0.166 0.505 0.169
Nd1 Nd 0.249 0.242 0.746
Nd2 Nd 0.418 0.757 0.918
Nd3 Nd 0.500 0.500 0.500
Th1 Th 0.336 0.998 0.337
# M_tot = 0.00 μB/f.u.
# N(E_F) = 17.26 states/eV per cell
# Electronic total energy = -61.38 eV for the cell shown

***

No. 2
# Tb8NdTh2 (PBE, relaxed)
data_Tb8NdTh2
_space_group_name_H-M_alt 'P -1'
_space_group_IT_number 2
_cell_length_a 5.976
_cell_length_b 7.581
_cell_length_c 9.276
_cell_angle_alpha 111.49
_cell_angle_beta 105.65
_cell_angle_gamma 97.38
loop_
_space_group_symop_operation_xyz
'x,y,z'
'-x,-y,-z'
loop_
_atom_site_label
_atom_site_type_symbol
_atom_site_fract_x
_atom_site_fract_y
_atom_site_fract_z
Tb1 Tb 0.079 0.399 0.237
Tb2 Tb 0.158 0.837 0.237
Tb3 Tb 0.281 0.074 0.000
Tb4 Tb 0.291 0.291 0.583
Nd1 Nd 0.500 0.500 0.000
Th1 Th 0.307 0.807 0.614
# M_tot = 0.00 μB/f.u.
# N(E_F) = 14.81 states/eV per cell
# Electronic total energy = -54.48 eV for the cell shown

***

No. 3
# Tb5NdTh4 (PBE, relaxed)
data_Tb5NdTh4
_space_group_name_H-M_alt 'I 4 m m'
_space_group_IT_number 107
_space_group_name_Hall 'I 4 -2'
_cell_length_a 10.461
_cell_length_b 10.461
_cell_length_c 6.152
_cell_angle_alpha 90.00
_cell_angle_beta 90.00
_cell_angle_gamma 90.00
loop_
_atom_site_label
_atom_site_type_symbol
_atom_site_fract_x
_atom_site_fract_y
_atom_site_fract_z
Tb1 Tb 0.000 0.000 0.000
Tb2 Tb 0.000 0.318 0.782
Nd1 Nd 0.000 0.000 0.546
Th1 Th 0.184 0.184 0.270
# M_tot = 0.00 μB/f.u.
# N(E_F) = 33.37 states/eV per cell
# Electronic total energy = -108.64 eV for the cell shown

***

No. 4
# Tb5Nd2Th4 (PBE, relaxed)
data_Tb5Nd2Th4
_space_group_name_H-M_alt 'C 1 2/m 1'
_space_group_IT_number 12
_cell_length_a 24.329
_cell_length_b 3.516
_cell_length_c 8.628
_cell_angle_alpha 90.00
_cell_angle_beta 94.51
_cell_angle_gamma 90.00
loop_
_space_group_symop_operation_xyz
'x,y,z'
'-x,-y,-z'
'-x,y,-z'
'x,-y,z'
'x+1/2,y+1/2,z'
'-x+1/2,-y+1/2,-z'
'-x+1/2,y+1/2,-z'
'x+1/2,-y+1/2,z'
loop_
_atom_site_label
_atom_site_type_symbol
_atom_site_fract_x
_atom_site_fract_y
_atom_site_fract_z
Tb1 Tb 0.000 0.000 0.000
Tb2 Tb 0.129 0.500 0.042
Tb3 Tb 0.184 0.500 0.471
Nd1 Nd 0.226 0.000 0.824
Th1 Th 0.044 0.500 0.351
Th2 Th 0.085 0.000 0.685
# M_tot = 0.00 μB/f.u.
# N(E_F) = 35.32 states/eV per cell
# Electronic total energy = -121.94 eV for the cell shown

***

No. 5
# Tb6Nd5Th (PBE, relaxed)
data_Tb6Nd5Th
_space_group_name_H-M_alt 'C 1 2/m 1'
_space_group_IT_number 12
_cell_length_a 6.279
_cell_length_b 10.868
_cell_length_c 11.886
_cell_angle_alpha 90.00
_cell_angle_beta 100.13
_cell_angle_gamma 90.00
loop_
_space_group_symop_operation_xyz
'x,y,z'
'-x,-y,-z'
'-x,y,-z'
'x,-y,z'
'x+1/2,y+1/2,z'
'-x+1/2,-y+1/2,-z'
'-x+1/2,y+1/2,-z'
'x+1/2,-y+1/2,z'
loop_
_atom_site_label
_atom_site_type_symbol
_atom_site_fract_x
_atom_site_fract_y
_atom_site_fract_z
Tb1 Tb 0.246 0.000 0.252
Tb2 Tb 0.248 0.165 0.748
Nd1 Nd 0.000 0.167 0.000
Nd2 Nd 0.000 0.333 0.500
Nd3 Nd 0.000 0.500 0.000
Th1 Th 0.000 0.000 0.500
# M_tot = 0.00 μB/f.u.
# N(E_F) = 29.70 states/eV per cell
# Electronic total energy = -117.54 eV for the cell shown

***

No. 6
# Tb3Nd6Th2 (PBE, relaxed)
data_Tb3Nd6Th2
_space_group_name_H-M_alt 'R -3 m'
_space_group_IT_number 166
_space_group_name_Hall '-R 3 2"'
_cell_length_a 3.6277
_cell_length_b 3.6277
_cell_length_c 97.8597
_cell_angle_alpha 90.00
_cell_angle_beta 90.00
_cell_angle_gamma 120.00
loop_
_atom_site_label
_atom_site_type_symbol
_atom_site_fract_x
_atom_site_fract_y
_atom_site_fract_z
Tb1 Tb 0.0000 0.0000 0.0000
Tb2 Tb 0.0000 0.0000 0.2733
Nd1 Nd 0.0000 0.0000 0.0911
Nd2 Nd 0.0000 0.0000 0.1832
Nd3 Nd 0.0000 0.0000 0.3635
Th1 Th 0.0000 0.0000 0.4541
# M_tot = 0.00 μB/f.u.
# N(E_F) = 49.10 states/eV per cell
# Electronic total energy = -171.14 eV for the cell shown

***

No. 7
# Tb4Nd10Th (PBE, relaxed)
data_Tb4Nd10Th
_space_group_name_H-M_alt 'I 4/m'
_space_group_IT_number 87
_space_group_name_Hall '-I 4'
_cell_length_a 10.071
_cell_length_b 10.071
_cell_length_c 10.962
_cell_angle_alpha 90.00
_cell_angle_beta 90.00
_cell_angle_gamma 90.00
loop_
_atom_site_label
_atom_site_type_symbol
_atom_site_fract_x
_atom_site_fract_y
_atom_site_fract_z
Tb1 Tb 0.059 0.722 0.000
Nd1 Nd 0.000 0.500 0.250
Nd2 Nd 0.119 0.776 0.328
Th1 Th 0.000 0.000 0.500
# M_tot = 0.00 μB/f.u.
# N(E_F) = 52.92 states/eV per cell
# Electronic total energy = -133.71 eV for the cell shown

***

No. 8
# Tb3Nd5Th2 (PBE, relaxed)
data_Tb3Nd5Th2
_space_group_name_H-M_alt 'C 1 2/c 1'
_space_group_IT_number 15
_cell_length_a 11.059
_cell_length_b 14.881
_cell_length_c 9.993
_cell_angle_alpha 90.00
_cell_angle_beta 123.59
_cell_angle_gamma 90.00
loop_
_space_group_symop_operation_xyz
'x,y,z'
'-x,-y,-z'
'-x,y,-z+1/2'
'x,-y,z+1/2'
'x+1/2,y+1/2,z'
'-x+1/2,-y+1/2,-z'
'-x+1/2,y+1/2,-z+1/2'
'x+1/2,-y+1/2,z+1/2'
loop_
_atom_site_label
_atom_site_type_symbol
_atom_site_fract_x
_atom_site_fract_y
_atom_site_fract_z
Tb1 Tb 0.000 0.232 0.250
Tb2 Tb 0.148 0.126 0.052
Nd1 Nd 0.000 0.024 0.250
Nd2 Nd 0.000 0.277 0.750
Nd3 Nd 0.000 0.484 0.750
Nd4 Nd 0.249 0.372 0.245
Th1 Th 0.156 0.374 0.557
# M_tot = 0.00 μB/f.u.
# N(E_F) = 65.12 states/eV per cell
# Electronic total energy = -201.70 eV for the cell shown

***

What did the second record say?
# Tb8NdTh2 (PBE, relaxed)
data_Tb8NdTh2
_space_group_name_H-M_alt 'P -1'
_space_group_IT_number 2
_cell_length_a 5.976
_cell_length_b 7.581
_cell_length_c 9.276
_cell_angle_alpha 111.49
_cell_angle_beta 105.65
_cell_angle_gamma 97.38
loop_
_space_group_symop_operation_xyz
'x,y,z'
'-x,-y,-z'
loop_
_atom_site_label
_atom_site_type_symbol
_atom_site_fract_x
_atom_site_fract_y
_atom_site_fract_z
Tb1 Tb 0.079 0.399 0.237
Tb2 Tb 0.158 0.837 0.237
Tb3 Tb 0.281 0.074 0.000
Tb4 Tb 0.291 0.291 0.583
Nd1 Nd 0.500 0.500 0.000
Th1 Th 0.307 0.807 0.614
# M_tot = 0.00 μB/f.u.
# N(E_F) = 14.81 states/eV per cell
# Electronic total energy = -54.48 eV for the cell shown

***

N(E_F) of number 4 (Tb5Nd2Th4)?
35.32 states/eV per cell